Compound: MgAs3Pt
Source: Alexandria
Functional: PBE
Structure: optimized geometry

abc: 4.9651 4.9651 4.9651
angles: 90.00 90.00 90.00
Element x y z (fractional)
Mg (0.0000, 0.0000, 0.0000)
As (0.0000, 0.5000, 0.5000)
As (0.5000, 0.0000, 0.5000)
As (0.5000, 0.5000, 0.0000)
Pt (0.5000, 0.5000, 0.5000)

Properties
Calculated volume in Å³ per cell: 122.4
Total magnetic moment in μB/f.u.: 0.00
Distance to the lowest polymorph of the same formula in meV per atom: 0
ΔE_f in eV/f.u.: 2.17
VASP energy in eV/cell: -19.42
Symmetry: Pm-3m (221)